(1)
! PBE SmCd5Ag2, optimized geometry; values from VASP
&SYSTEM
  ibrav = 0, nat = 8, ntyp = 3
/
ATOMIC_SPECIES
Sm 150.36 Sm.upf
Cd 112.41 Cd.upf
Ag 107.87 Ag.upf
ATOMIC_POSITIONS crystal
Sm 0.000 0.000 0.000
Cd 0.000 0.500 0.500
Cd 0.634 0.588 0.143
Cd 0.366 0.412 0.857
Cd 0.366 0.857 0.412
Cd 0.634 0.143 0.588
Ag 0.745 0.755 0.755
Ag 0.255 0.245 0.245
CELL_PARAMETERS angstrom
3.459 0.000 0.000
1.730 7.291 0.153
1.730 1.490 7.139
! energy = -2.028 eV/atom
! energy of formation = -153 meV/atom

---

(2)
! PBE Sm8CdAg2, optimized geometry; values from VASP
&SYSTEM
  ibrav = 0, nat = 11, ntyp = 3
/
ATOMIC_SPECIES
Sm 150.36 Sm.upf
Cd 112.41 Cd.upf
Ag 107.87 Ag.upf
ATOMIC_POSITIONS crystal
Sm 0.598 0.458 0.195
Sm 0.317 0.043 0.633
Sm 0.141 0.198 0.283
Sm 0.069 0.724 0.137
Sm 0.859 0.802 0.717
Sm 0.683 0.957 0.367
Sm 0.402 0.542 0.805
Sm 0.931 0.276 0.863
Cd 0.500 0.000 0.000
Ag 0.226 0.622 0.452
Ag 0.774 0.378 0.548
CELL_PARAMETERS angstrom
5.162 0.000 -1.667
-1.308 7.423 -4.051
-0.074 -0.114 8.599
! energy = -4.158 eV/atom
! energy of formation = -125 meV/atom

---

(3)
! PBE SmCd2Ag3, optimized geometry; values from VASP
&SYSTEM
  ibrav = 0, nat = 12, ntyp = 3
/
ATOMIC_SPECIES
Sm 150.36 Sm.upf
Cd 112.41 Cd.upf
Ag 107.87 Ag.upf
ATOMIC_POSITIONS crystal
Sm 0.000 0.000 0.250
Sm 0.000 0.000 0.750
Cd 0.667 0.333 0.409
Cd 0.333 0.667 0.591
Cd 0.333 0.667 0.909
Cd 0.667 0.333 0.091
Ag 0.000 0.000 0.500
Ag 0.000 0.000 0.000
Ag 0.667 0.333 0.636
Ag 0.333 0.667 0.136
Ag 0.667 0.333 0.864
Ag 0.333 0.667 0.364
CELL_PARAMETERS angstrom
4.839 0.000 0.000
-2.419 4.191 0.000
0.000 0.000 12.921
! energy = -2.712 eV/atom
! energy of formation = -195 meV/atom

---

(4)
! PBE Sm3CdAg3, optimized geometry; values from VASP
&SYSTEM
  ibrav = 0, nat = 7, ntyp = 3
/
ATOMIC_SPECIES
Sm 150.36 Sm.upf
Cd 112.41 Cd.upf
Ag 107.87 Ag.upf
ATOMIC_POSITIONS crystal
Sm 0.303 0.803 0.605
Sm 0.692 0.192 0.384
Sm 0.006 0.006 0.011
Cd 0.433 0.433 0.865
Ag 0.143 0.643 0.286
Ag 0.856 0.356 0.713
Ag 0.568 0.568 0.135
CELL_PARAMETERS angstrom
4.725 0.000 -1.031
-0.175 3.457 -0.803
-0.140 0.653 10.704
! energy = -3.630 eV/atom
! energy of formation = -255 meV/atom